Record 1
RbMnGeCl2: PBEsol geometry, meta-GGA SCAN.

Unit cell a=5.6352 b=5.6352 c=6.0018 alpha=90.00 beta=90.00 gamma=90.00
Space group P4/mmm (No. 123)
Inequivalent atoms, fractional coordinates:
Rb (0.0000, 0.0000, 0.0000) (multiplicity 1)
Mn (0.0000, 0.0000, 0.5000) (multiplicity 1)
Ge (0.5000, 0.5000, 0.5000) (multiplicity 1)
Cl (0.0000, 0.5000, 0.0000) (multiplicity 2)

Results
Its formation energy (no corrections) is 0.309 eV per atom. As for the calculated density: 2.47 g cm⁻³. Its total energy is -14.499 eV/atom. For the size of the total moment, the calculation gives 4.00 μB/cell.

Record 2
MnGeS2Cl: PBEsol geometry, meta-GGA SCAN.

Unit cell a=4.6135 b=4.6135 c=4.4825 alpha=90.00 beta=90.00 gamma=90.00
Space group P4/mmm (No. 123)
Inequivalent atoms, fractional coordinates:
Mn (0.0000, 0.0000, 0.0000) (multiplicity 1)
Ge (0.5000, 0.5000, 0.5000) (multiplicity 1)
S (0.0000, 0.5000, 0.0000) (multiplicity 2)
Cl (0.0000, 0.0000, 0.5000) (multiplicity 1)

Results
Its formation energy (no corrections) is -0.250 eV per atom. As for the calculated density: 3.95 g cm⁻³. Its total energy is -13.165 eV/atom. For the size of the total moment, the calculation gives 4.13 μB/cell.

Record 3
Ge2MoCl: PBEsol geometry, meta-GGA SCAN.

Unit cell a=6.5608 b=6.5608 c=6.5608 alpha=90.00 beta=90.00 gamma=90.00
Space group Fm-3m (No. 225)
Inequivalent atoms, fractional coordinates:
Ge (0.2500, 0.2500, 0.2500) (multiplicity 8)
Mo (0.0000, 0.0000, 0.0000) (multiplicity 4)
Cl (0.0000, 0.0000, 0.5000) (multiplicity 4)

Results
Its formation energy (no corrections) is 0.871 eV per atom. As for the calculated density: 6.51 g cm⁻³. Its total energy is -19.389 eV/atom. For the size of the total moment, the calculation gives 11.30 μB/cell.

Record 4
GeN2Cl: PBEsol geometry, meta-GGA SCAN.

Unit cell a=5.6123 b=5.6123 c=5.6123 alpha=90.00 beta=90.00 gamma=90.00
Space group Fm-3m (No. 225)
Inequivalent atoms, fractional coordinates:
Ge (0.0000, 0.0000, 0.0000) (multiplicity 4)
N (0.2500, 0.2500, 0.2500) (multiplicity 8)
Cl (0.0000, 0.0000, 0.5000) (multiplicity 4)

Results
Its formation energy (no corrections) is 2.351 eV per atom. As for the calculated density: 5.11 g cm⁻³. Its total energy is -9.061 eV/atom. For the size of the total moment, the calculation gives 0.01 μB/cell.

Record 5
Ge2NClO: PBEsol geometry, meta-GGA SCAN.

Unit cell a=4.4043 b=4.4043 c=3.9353 alpha=90.00 beta=90.00 gamma=90.00
Space group P4/mmm (No. 123)
Inequivalent atoms, fractional coordinates:
Ge (0.0000, 0.5000, 0.0000) (multiplicity 2)
N (0.0000, 0.0000, 0.0000) (multiplicity 1)
Cl (0.0000, 0.0000, 0.5000) (multiplicity 1)
O (0.5000, 0.5000, 0.5000) (multiplicity 1)

Results
Its formation energy (no corrections) is 0.947 eV per atom. As for the calculated density: 4.58 g cm⁻³. Its total energy is -11.388 eV/atom. For the size of the total moment, the calculation gives 0.00 μB/cell.

Record 6
GeSNCl2: PBEsol geometry, meta-GGA SCAN.

Unit cell a=4.8696 b=4.8696 c=4.6743 alpha=90.00 beta=90.00 gamma=90.00
Space group P4/mmm (No. 123)
Inequivalent atoms, fractional coordinates:
Ge (0.0000, 0.0000, 0.0000) (multiplicity 1)
S (0.0000, 0.0000, 0.5000) (multiplicity 1)
N (0.5000, 0.5000, 0.5000) (multiplicity 1)
Cl (0.0000, 0.5000, 0.0000) (multiplicity 2)

Results
Its formation energy (no corrections) is 0.840 eV per atom. As for the calculated density: 2.84 g cm⁻³. Its total energy is -9.952 eV/atom. For the size of the total moment, the calculation gives 2.19 μB/cell.

Record 7
GeS2NCl: PBEsol geometry, meta-GGA SCAN.

Unit cell a=4.8340 b=4.8340 c=3.4478 alpha=90.00 beta=90.00 gamma=90.00
Space group P4/mmm (No. 123)
Inequivalent atoms, fractional coordinates:
Ge (0.0000, 0.0000, 0.0000) (multiplicity 1)
S (0.0000, 0.5000, 0.5000) (multiplicity 2)
N (0.5000, 0.5000, 0.0000) (multiplicity 1)
Cl (0.5000, 0.5000, 0.5000) (multiplicity 1)

Results
Its formation energy (no corrections) is 1.597 eV per atom. As for the calculated density: 3.84 g cm⁻³. Its total energy is -9.526 eV/atom. For the size of the total moment, the calculation gives 0.46 μB/cell.

Record 8
GeSeN2Cl: PBEsol geometry, meta-GGA SCAN.

Unit cell a=3.6725 b=3.6725 c=5.8885 alpha=90.00 beta=90.00 gamma=90.00
Space group P4/mmm (No. 123)
Inequivalent atoms, fractional coordinates:
Ge (0.0000, 0.0000, 0.0000) (multiplicity 1)
Se (0.0000, 0.0000, 0.5000) (multiplicity 1)
N (0.0000, 0.5000, 0.0000) (multiplicity 2)
Cl (0.5000, 0.5000, 0.5000) (multiplicity 1)

Results
Its formation energy (no corrections) is 1.193 eV per atom. As for the calculated density: 4.50 g cm⁻³. Its total energy is -11.952 eV/atom. For the size of the total moment, the calculation gives 2.03 μB/cell.

Record 9
Na2GeCl: PBEsol geometry, meta-GGA SCAN.

Unit cell a=7.2751 b=7.2751 c=7.2751 alpha=90.00 beta=90.00 gamma=90.00
Space group Fm-3m (No. 225)
Inequivalent atoms, fractional coordinates:
Na (0.2500, 0.2500, 0.2500) (multiplicity 8)
Ge (0.0000, 0.0000, 0.0000) (multiplicity 4)
Cl (0.0000, 0.0000, 0.5000) (multiplicity 4)

Results
Its formation energy (no corrections) is -0.362 eV per atom. As for the calculated density: 2.66 g cm⁻³. Its total energy is -9.236 eV/atom. For the size of the total moment, the calculation gives 11.95 μB/cell.

Record 10
NaGeCl2: PBEsol geometry, meta-GGA SCAN.

Unit cell a=6.8928 b=6.8928 c=6.8928 alpha=90.00 beta=90.00 gamma=90.00
Space group Fm-3m (No. 225)
Inequivalent atoms, fractional coordinates:
Na (0.0000, 0.0000, 0.0000) (multiplicity 4)
Ge (0.0000, 0.0000, 0.5000) (multiplicity 4)
Cl (0.2500, 0.2500, 0.2500) (multiplicity 8)

Results
Its formation energy (no corrections) is -0.689 eV per atom. As for the calculated density: 3.38 g cm⁻³. Its total energy is -10.503 eV/atom. For the size of the total moment, the calculation gives 0.00 μB/cell.

Record 11
NaGeS2Cl: PBEsol geometry, meta-GGA SCAN.

Unit cell a=4.7876 b=4.7876 c=4.8908 alpha=90.00 beta=90.00 gamma=90.00
Space group P4/mmm (No. 123)
Inequivalent atoms, fractional coordinates:
Na (0.0000, 0.0000, 0.0000) (multiplicity 1)
Ge (0.5000, 0.5000, 0.5000) (multiplicity 1)
S (0.0000, 0.5000, 0.0000) (multiplicity 2)
Cl (0.0000, 0.0000, 0.5000) (multiplicity 1)

Results
Its formation energy (no corrections) is 0.438 eV per atom. As for the calculated density: 2.89 g cm⁻³. Its total energy is -9.669 eV/atom. For the size of the total moment, the calculation gives 0.00 μB/cell.

Record 12
NiGe3Cl: PBEsol geometry, meta-GGA SCAN.

Unit cell a=4.5737 b=4.5737 c=4.5737 alpha=90.00 beta=90.00 gamma=90.00
Space group Pm-3m (No. 221)
Inequivalent atoms, fractional coordinates:
Ni (0.0000, 0.0000, 0.0000) (multiplicity 1)
Ge (0.0000, 0.0000, 0.5000) (multiplicity 3)
Cl (0.5000, 0.5000, 0.5000) (multiplicity 1)

Results
Its formation energy (no corrections) is 0.132 eV per atom. As for the calculated density: 5.42 g cm⁻³. Its total energy is -16.151 eV/atom. For the size of the total moment, the calculation gives 0.00 μB/cell.

Record 13
NiGeS2Cl: PBEsol geometry, meta-GGA SCAN.

Unit cell a=4.6469 b=4.6469 c=4.6640 alpha=90.00 beta=90.00 gamma=90.00
Space group P4/mmm (No. 123)
Inequivalent atoms, fractional coordinates:
Ni (0.0000, 0.0000, 0.0000) (multiplicity 1)
Ge (0.5000, 0.5000, 0.5000) (multiplicity 1)
S (0.0000, 0.5000, 0.5000) (multiplicity 2)
Cl (0.5000, 0.5000, 0.0000) (multiplicity 1)

Results
Its formation energy (no corrections) is 0.567 eV per atom. As for the calculated density: 3.81 g cm⁻³. Its total energy is -11.932 eV/atom. For the size of the total moment, the calculation gives 1.59 μB/cell.

Record 14
GeOs2Cl: PBEsol geometry, meta-GGA SCAN.

Unit cell a=6.0846 b=6.0846 c=6.0846 alpha=90.00 beta=90.00 gamma=90.00
Space group Fm-3m (No. 225)
Inequivalent atoms, fractional coordinates:
Ge (0.0000, 0.0000, 0.0000) (multiplicity 4)
Os (0.2500, 0.2500, 0.2500) (multiplicity 8)
Cl (0.0000, 0.0000, 0.5000) (multiplicity 4)

Results
Its formation energy (no corrections) is 1.112 eV per atom. As for the calculated density: 14.41 g cm⁻³. Its total energy is -41.594 eV/atom. For the size of the total moment, the calculation gives 0.00 μB/cell.

Record 15
Ge2OsRuCl: PBEsol geometry, meta-GGA SCAN.

Unit cell a=4.6679 b=4.6679 c=4.8176 alpha=90.00 beta=90.00 gamma=90.00
Space group P4/mmm (No. 123)
Inequivalent atoms, fractional coordinates:
Ge (0.0000, 0.5000, 0.0000) (multiplicity 2)
Os (0.0000, 0.0000, 0.0000) (multiplicity 1)
Ru (0.5000, 0.5000, 0.5000) (multiplicity 1)
Cl (0.0000, 0.0000, 0.5000) (multiplicity 1)

Results
Its formation energy (no corrections) is 1.132 eV per atom. As for the calculated density: 7.47 g cm⁻³. Its total energy is -29.440 eV/atom. For the size of the total moment, the calculation gives 1.96 μB/cell.

Record 16
GePCl3: PBEsol geometry, meta-GGA SCAN.

Unit cell a=4.7963 b=4.7963 c=4.7963 alpha=90.00 beta=90.00 gamma=90.00
Space group Pm-3m (No. 221)
Inequivalent atoms, fractional coordinates:
Ge (0.0000, 0.0000, 0.0000) (multiplicity 1)
P (0.5000, 0.5000, 0.5000) (multiplicity 1)
Cl (0.0000, 0.5000, 0.5000) (multiplicity 3)

Results
Its formation energy (no corrections) is 0.254 eV per atom. As for the calculated density: 3.16 g cm⁻³. Its total energy is -10.430 eV/atom. For the size of the total moment, the calculation gives 1.03 μB/cell.

Record 17
GeP2PdCl: PBEsol geometry, meta-GGA SCAN.

Unit cell a=4.6128 b=4.6128 c=4.7900 alpha=90.00 beta=90.00 gamma=90.00
Space group P4/mmm (No. 123)
Inequivalent atoms, fractional coordinates:
Ge (0.0000, 0.0000, 0.0000) (multiplicity 1)
P (0.0000, 0.5000, 0.5000) (multiplicity 2)
Pd (0.5000, 0.5000, 0.5000) (multiplicity 1)
Cl (0.5000, 0.5000, 0.0000) (multiplicity 1)

Results
Its formation energy (no corrections) is 0.646 eV per atom. As for the calculated density: 4.50 g cm⁻³. Its total energy is -15.482 eV/atom. For the size of the total moment, the calculation gives 1.04 μB/cell.

Record 18
GePS2Cl: PBEsol geometry, meta-GGA SCAN.

Unit cell a=4.5203 b=4.5203 c=5.0184 alpha=90.00 beta=90.00 gamma=90.00
Space group P4/mmm (No. 123)
Inequivalent atoms, fractional coordinates:
Ge (0.0000, 0.0000, 0.0000) (multiplicity 1)
P (0.0000, 0.0000, 0.5000) (multiplicity 1)
S (0.0000, 0.5000, 0.0000) (multiplicity 2)
Cl (0.5000, 0.5000, 0.5000) (multiplicity 1)

Results
Its formation energy (no corrections) is 0.798 eV per atom. As for the calculated density: 3.29 g cm⁻³. Its total energy is -10.546 eV/atom. For the size of the total moment, the calculation gives 0.00 μB/cell.

Record 19
SiGeP2Cl: PBEsol geometry, meta-GGA SCAN.

Unit cell a=4.6937 b=4.6937 c=4.6501 alpha=90.00 beta=90.00 gamma=90.00
Space group P4/mmm (No. 123)
Inequivalent atoms, fractional coordinates:
Si (0.0000, 0.0000, 0.0000) (multiplicity 1)
Ge (0.5000, 0.5000, 0.5000) (multiplicity 1)
P (0.0000, 0.5000, 0.5000) (multiplicity 2)
Cl (0.5000, 0.5000, 0.0000) (multiplicity 1)

Results
Its formation energy (no corrections) is 0.954 eV per atom. As for the calculated density: 3.21 g cm⁻³. Its total energy is -10.622 eV/atom. For the size of the total moment, the calculation gives 0.00 μB/cell.

Record 20
SrGeP2Cl: PBEsol geometry, meta-GGA SCAN.

Unit cell a=5.4094 b=5.4094 c=5.2063 alpha=90.00 beta=90.00 gamma=90.00
Space group P4/mmm (No. 123)
Inequivalent atoms, fractional coordinates:
Sr (0.0000, 0.0000, 0.0000) (multiplicity 1)
Ge (0.5000, 0.5000, 0.5000) (multiplicity 1)
P (0.0000, 0.5000, 0.0000) (multiplicity 2)
Cl (0.0000, 0.0000, 0.5000) (multiplicity 1)

Results
Its formation energy (no corrections) is 0.719 eV per atom. As for the calculated density: 2.81 g cm⁻³. Its total energy is -13.309 eV/atom. For the size of the total moment, the calculation gives 0.91 μB/cell.